This record from the Alexandria database describes Y2TcHg2 after structural relaxation. The functional is PBE-GGA.

Values from the calculation:
N(E_F)	7.00	states/eV/cell
energy of formation	359	meV/atom
spin magnetization	0.00	μB per cell
energy above the most stable polymorph in this dataset	0.3021	eV per atom
total energy	-0.1625	hartree per atom

a b c (Å): 5.751 5.751 5.708
angles (deg): 59.75 59.75 90.00
Atoms (fractional coordinates):
Tc1 0.000 0.000 0.000
Y1 0.250 0.750 0.500
Y2 0.750 0.250 0.500
Hg1 0.663 0.663 0.673
Hg2 0.337 0.337 0.327


This record from the Alexandria database describes AcPa3C4N12 after structural relaxation. The functional is PBE-GGA.

Values from the calculation:
N(E_F)	11.85	states/eV/cell
spin magnetization	0.00	μB per cell
total energy	-0.3352	hartree per atom
energy relative to the elements, uncorrected	-0.651	eV per atom

a b c (Å): 6.591 6.591 6.591
angles (deg): 101.09 101.09 101.09
Atoms (fractional coordinates):
N1 0.500 0.095 0.905
N2 0.386 0.980 0.189
N3 0.095 0.905 0.500
N4 0.020 0.614 0.811
N5 0.905 0.500 0.095
N6 0.634 0.500 0.366
N7 0.366 0.634 0.500
N8 0.614 0.811 0.020
N9 0.980 0.189 0.386
N10 0.811 0.020 0.614
N11 0.500 0.366 0.634
N12 0.189 0.386 0.980
Pa1 0.536 0.464 0.000
Pa2 0.464 0.000 0.536
Pa3 0.000 0.536 0.464
C1 0.500 0.500 0.500
C2 0.960 0.040 0.500
C3 0.500 0.960 0.040
C4 0.040 0.500 0.960
Ac1 0.000 0.000 0.000


This record from the Alexandria database describes Fe2CuAs after structural relaxation. The functional is PBE-GGA.

Values from the calculation:
N(E_F)	3.59	states/eV/cell
energy of formation	103	meV/atom
spin magnetization	4.59	μB per cell
total energy	-0.2321	hartree per atom

a b c (Å): 3.127 3.129 5.269
angles (deg): 90.00 90.00 90.00
Site moments in Bohr magnetons follow the coordinates.
Atoms (fractional coordinates):
As1 0.000 0.000 0.488  -0.07
Fe1 0.000 0.000 0.006  2.61
Fe2 0.500 0.500 0.244  2.08
Cu1 0.500 0.500 0.762  0.04


Q: The lowest total energy belongs to which entry?
A: AcPa3C4N12


Q: total energy of number 1 (Y2TcHg2)?
A: -0.1625 hartree per atom


What did the first record say?
This record from the Alexandria database describes Y2TcHg2 after structural relaxation. The functional is PBE-GGA.

Values from the calculation:
N(E_F)	7.00	states/eV/cell
energy of formation	359	meV/atom
spin magnetization	0.00	μB per cell
energy above the most stable polymorph in this dataset	0.3021	eV per atom
total energy	-0.1625	hartree per atom

a b c (Å): 5.751 5.751 5.708
angles (deg): 59.75 59.75 90.00
Atoms (fractional coordinates):
Tc1 0.000 0.000 0.000
Y1 0.250 0.750 0.500
Y2 0.750 0.250 0.500
Hg1 0.663 0.663 0.673
Hg2 0.337 0.337 0.327


Q: Which value of total energy does entry 2 give?
A: -0.3352 hartree per atom